No. 1
Below is a crystal of CdI2O2 relaxed with PBEsol, with properties calculated at the meta-GGA SCAN level.

Its theoretical density is 4.88 Mg/m³. For the formation energy without anion corrections, the calculation gives 568 meV per atom.

The space group is P4/mmm (No. 123) and the conventional cell measures 5.8083, 5.8083 and 4.0200 Å, with angles of 90.00, 90.00 and 90.00 degrees. The asymmetric unit holds Cd at (0.0000, 0.0000, 0.0000), I at (0.0000, 0.5000, 0.0000), O at (0.0000, 0.0000, 0.5000) and O at (0.5000, 0.5000, 0.5000).


No. 2
Below is a crystal of LiCuRh2 relaxed with PBEsol, with properties calculated at the meta-GGA SCAN level.

Its formation energy is -0.02 eV per atom. Its theoretical density is 8.99 Mg/m³.

The space group is C2/m (No. 12) and the conventional cell measures 5.1849, 8.5570 and 2.5843 Å, with angles of 90.00, 117.10 and 90.00 degrees. The asymmetric unit holds Li at (0.0000, 0.0000, 0.0000), Cu at (0.0000, 0.5000, 0.0000) and Rh at (0.2500, 0.2500, 0.5000).


No. 3
Below is a crystal of MgFeCo2 relaxed with PBEsol, with properties calculated at the meta-GGA SCAN level.

Its formation energy is 0.12 eV per atom. Its theoretical density is 6.81 Mg/m³.

The space group is Immm (No. 71) and the conventional cell measures 2.8636, 4.1922 and 8.0497 Å, with angles of 90.00, 90.00 and 90.00 degrees. The asymmetric unit holds Mg at (0.0000, 0.0000, 0.0000), Fe at (0.0000, 0.0000, 0.5000) and Co at (0.0000, 0.5000, 0.2339).


No. 4
Below is a crystal of CaRe3H9S4O6 relaxed with PBEsol, with properties calculated at the meta-GGA SCAN level.

Its theoretical density is 4.59 Mg/m³.

The space group is P-3 (No. 147) and the conventional cell measures 8.9677, 8.9677 and 8.6388 Å, with angles of 90.00, 90.00 and 120.00 degrees. The asymmetric unit holds Ca at (0.3333, 0.6667, 0.1675), Re at (0.0572, 0.8691, 0.3775), H at (0.0133, 0.6485, 0.1687), H at (0.1720, 0.3753, 0.0453), H at (0.2080, 0.7638, 0.8739), S at (0.0000, 0.0000, 0.1644), S at (0.1055, 0.7558, 0.6160), O at (0.1207, 0.7255, 0.2268) and O at (0.1657, 0.4486, 0.9599).


No. 5
Below is a crystal of K5BaTaP4 relaxed with PBEsol, with properties calculated at the meta-GGA SCAN level.

Its formation energy is -0.75 eV per atom. Its theoretical density is 3.06 Mg/m³.

The space group is Cc (No. 9) and the conventional cell measures 10.0370, 17.4845 and 7.8783 Å, with angles of 90.00, 91.53 and 90.00 degrees. The asymmetric unit holds K at (0.0000, 0.0302, 0.0000), K at (0.2029, 0.2338, 0.9993), K at (0.2105, 0.4307, 0.1591), K at (0.2720, 0.0702, 0.7026), K at (0.4924, 0.1385, 0.1736), Ba at (0.2980, 0.2659, 0.4911), Ta at (0.4954, 0.3329, 0.8915), P at (0.1963, 0.1041, 0.3099), P at (0.3009, 0.3959, 0.7786), P at (0.4900, 0.3282, 0.1951) and P at (0.4990, 0.2028, 0.7887).


No. 6
Below is a crystal of Ba3Er2MoO9 relaxed with PBEsol, with properties calculated at the meta-GGA SCAN level.

Its theoretical density is 7.30 Mg/m³. For the formation energy without anion corrections, the calculation gives -3231 meV per atom.

The space group is C2/c (No. 15) and the conventional cell measures 10.3620, 5.9316 and 14.6006 Å, with angles of 90.00, 90.53 and 90.00 degrees. The asymmetric unit holds Ba at (0.0000, 0.0005, 0.2500), Ba at (0.1659, 0.4994, 0.4125), Er at (0.1674, 0.4988, 0.6669), Mo at (0.0000, 0.0000, 0.0000), O at (0.0000, 0.4912, 0.2500), O at (0.0673, 0.2585, 0.5640), O at (0.0876, 0.2000, 0.0842), O at (0.1515, 0.0005, 0.9239) and O at (0.2331, 0.2044, 0.7363).


No. 7
Below is a crystal of LaTl relaxed with PBEsol, with properties calculated at the meta-GGA SCAN level.

Its formation energy is -0.31 eV per atom. Its theoretical density is 9.40 Mg/m³.

The space group is P4/nmm (No. 129, origin choice 2) and the conventional cell measures 4.2639, 4.2639 and 6.6732 Å, with angles of 90.00, 90.00 and 90.00 degrees. The asymmetric unit holds La at (0.2500, 0.2500, 0.1420) and Tl at (0.2500, 0.2500, 0.6276).


No. 8
Below is a crystal of La3HfO relaxed with PBEsol, with properties calculated at the meta-GGA SCAN level.

Its theoretical density is 8.17 Mg/m³. For the formation energy without anion corrections, the calculation gives -1130 meV per atom.

The space group is Pm-3m (No. 221) and the conventional cell measures 4.9888, 4.9888 and 4.9888 Å, with angles of 90.00, 90.00 and 90.00 degrees. The asymmetric unit holds La at (0.0000, 0.0000, 0.5000), Hf at (0.5000, 0.5000, 0.5000) and O at (0.0000, 0.0000, 0.0000).


No. 9
Below is a crystal of CsAsH2Pb relaxed with PBEsol, with properties calculated at the meta-GGA SCAN level.

Its theoretical density is 5.39 Mg/m³.

The space group is P4/mmm (No. 123) and the conventional cell measures 4.4989, 4.4989 and 6.3488 Å, with angles of 90.00, 90.00 and 90.00 degrees. The asymmetric unit holds Cs at (0.0000, 0.0000, 0.0000), As at (0.0000, 0.0000, 0.5000), H at (0.0000, 0.5000, 0.5000) and Pb at (0.5000, 0.5000, 0.0000).


No. 10
Below is a crystal of SrEu2BeO5 relaxed with PBEsol, with properties calculated at the meta-GGA SCAN level.

Its theoretical density is 7.29 Mg/m³. For the formation energy without anion corrections, the calculation gives -2988 meV per atom.

The space group is Pna2_1 (No. 33) and the conventional cell measures 9.4326, 6.4950 and 7.1496 Å, with angles of 90.00, 90.00 and 90.00 degrees. The asymmetric unit holds Sr at (0.1744, 0.0866, 0.0000), Eu at (0.0220, 0.5888, 0.7674), Eu at (0.1719, 0.0806, 0.5425), Be at (0.1011, 0.8096, 0.2685), O at (0.0087, 0.0229, 0.2693), O at (0.0663, 0.6929, 0.4617), O at (0.0691, 0.6855, 0.0769), O at (0.2181, 0.3376, 0.2699) and O at (0.2255, 0.3701, 0.7693).


No. 11
Below is a crystal of DyAl2Ni relaxed with PBEsol, with properties calculated at the meta-GGA SCAN level.

Its formation energy is -0.71 eV per atom. Its theoretical density is 6.63 Mg/m³.

The space group is Cmcm (No. 63) and the conventional cell measures 4.0130, 10.0866 and 6.8092 Å, with angles of 90.00, 90.00 and 90.00 degrees. The asymmetric unit holds Dy at (0.0000, 0.0609, 0.2500), Al at (0.0000, 0.3436, 0.0542) and Ni at (0.0000, 0.2160, 0.7500).


No. 12
Below is a crystal of CuBSbW2 relaxed with PBEsol, with properties calculated at the meta-GGA SCAN level.

Its theoretical density is 10.06 Mg/m³. For the formation energy without anion corrections, the calculation gives 2708 meV per atom.

The space group is P4/mmm (No. 123) and the conventional cell measures 4.5951, 4.5951 and 4.4079 Å, with angles of 90.00, 90.00 and 90.00 degrees. The asymmetric unit holds Cu at (0.0000, 0.0000, 0.0000), B at (0.5000, 0.5000, 0.5000), Sb at (0.0000, 0.0000, 0.5000) and W at (0.0000, 0.5000, 0.0000).


No. 13
Below is a crystal of CaCdMo relaxed with PBEsol, with properties calculated at the meta-GGA SCAN level.

Its formation energy is 0.49 eV per atom. Its theoretical density is 6.92 Mg/m³.

The space group is I4mm (No. 107) and the conventional cell measures 2.8555, 2.8555 and 14.6133 Å, with angles of 90.00, 90.00 and 90.00 degrees. The asymmetric unit holds Ca at (0.0000, 0.0000, 0.0000), Cd at (0.0000, 0.0000, 0.6807) and Mo at (0.0000, 0.0000, 0.3318).


No. 14
Below is a crystal of KSr2Ir relaxed with PBEsol, with properties calculated at the meta-GGA SCAN level.

Its formation energy is 0.20 eV per atom. Its theoretical density is 3.82 Mg/m³.

The space group is Amm2 (No. 38) and the conventional cell measures 4.3924, 5.7384 and 14.0164 Å, with angles of 90.00, 90.00 and 90.00 degrees. The asymmetric unit holds K at (0.0000, 0.0000, 0.0000), Sr at (0.0000, 0.0000, 0.2912), Sr at (0.5000, 0.0000, 0.6468) and Ir at (0.5000, 0.0000, 0.1651).


No. 15
Below is a crystal of ScIn2Hg relaxed with PBEsol, with properties calculated at the meta-GGA SCAN level.

Its formation energy is -0.27 eV per atom. Its theoretical density is 8.80 Mg/m³.

The space group is P4mm (No. 99) and the conventional cell measures 3.7581, 3.7581 and 6.3460 Å, with angles of 90.00, 90.00 and 90.00 degrees. The asymmetric unit holds Sc at (0.0000, 0.0000, 0.0000), In at (0.0000, 0.0000, 0.4911), In at (0.5000, 0.5000, 0.7520) and Hg at (0.5000, 0.5000, 0.2370).


No. 16
Below is a crystal of Cd2HgAu relaxed with PBEsol, with properties calculated at the meta-GGA SCAN level.

Its formation energy is -0.05 eV per atom. Its theoretical density is 12.92 Mg/m³.

The space group is R-3m (No. 166, hexagonal axes) and the conventional cell measures 3.1539, 3.1539 and 27.8568 Å, with angles of 90.00, 90.00 and 120.00 degrees. The asymmetric unit holds Cd at (0.0000, 0.0000, 0.2457), Hg at (0.0000, 0.0000, 0.0000) and Au at (0.0000, 0.0000, 0.5000).


No. 17
Below is a crystal of La3WS relaxed with PBEsol, with properties calculated at the meta-GGA SCAN level.

Its theoretical density is 6.59 Mg/m³. For the formation energy without anion corrections, the calculation gives 26 meV per atom.

The space group is Pm-3m (No. 221) and the conventional cell measures 5.4229, 5.4229 and 5.4229 Å, with angles of 90.00, 90.00 and 90.00 degrees. The asymmetric unit holds La at (0.0000, 0.0000, 0.5000), W at (0.0000, 0.0000, 0.0000) and S at (0.5000, 0.5000, 0.5000).


No. 18
Below is a crystal of Re2SiPb relaxed with PBEsol, with properties calculated at the meta-GGA SCAN level.

Its theoretical density is 15.34 Mg/m³. For the formation energy without anion corrections, the calculation gives 690 meV per atom.

The space group is R-3m (No. 166, hexagonal axes) and the conventional cell measures 2.9139, 2.9139 and 26.8302 Å, with angles of 90.00, 90.00 and 120.00 degrees. The asymmetric unit holds Re at (0.0000, 0.0000, 0.2366), Si at (0.0000, 0.0000, 0.5000) and Pb at (0.0000, 0.0000, 0.0000).


No. 19
Below is a crystal of CaZnWAu2 relaxed with PBEsol, with properties calculated at the meta-GGA SCAN level.

Its formation energy is 1.76 eV per atom. Its theoretical density is 9.27 Mg/m³.

The space group is P4/mmm (No. 123) and the conventional cell measures 5.0104, 5.0104 and 4.8774 Å, with angles of 90.00, 90.00 and 90.00 degrees. The asymmetric unit holds Ca at (0.0000, 0.0000, 0.0000), Zn at (0.0000, 0.0000, 0.5000), W at (0.5000, 0.5000, 0.5000) and Au at (0.0000, 0.5000, 0.0000).


No. 20
Below is a crystal of Be2CoO relaxed with PBEsol, with properties calculated at the meta-GGA SCAN level.

Its theoretical density is 4.19 Mg/m³. For the formation energy without anion corrections, the calculation gives -699 meV per atom.

The space group is I-42d (No. 122) and the conventional cell measures 4.8238, 4.8238 and 6.3323 Å, with angles of 90.00, 90.00 and 90.00 degrees. The asymmetric unit holds Be at (0.1458, 0.7500, 0.1250), Co at (0.0000, 0.0000, 0.5000) and O at (0.0000, 0.0000, 0.0000).


Number 1: total energy -1.6687 Ry/atom. Number 2: total energy -1.5660 Ry/atom. Number 3: total energy -1.0517 Ry/atom. Number 4: total energy -1.1362 Ry/atom. Number 5: total energy -1.3207 Ry/atom. Number 6: total energy -1.7579 Ry/atom. Number 7: total energy -4.2662 Ry/atom. Number 8: total energy -2.9968 Ry/atom. Number 9: total energy -1.9872 Ry/atom. Number 10: total energy -1.5688 Ry/atom. Number 11: total energy -1.5121 Ry/atom. Number 12: total energy -2.7301 Ry/atom. Number 13: total energy -1.8007 Ry/atom. Number 14: total energy -2.2636 Ry/atom. Number 15: total energy -2.7609 Ry/atom. Number 16: total energy -3.6443 Ry/atom. Number 17: total energy -3.0649 Ry/atom. Number 18: total energy -4.1385 Ry/atom. Number 19: total energy -3.2686 Ry/atom. Number 20: total energy -0.6438 Ry/atom.